Entry 1:
VASP calculation (GGA-PBE) on crystalline ErClO at its relaxed geometry.

a = 3.620 Å, b = 3.620 Å, c = 5.607 Å
α = 90.00°, β = 90.00°, γ = 120.00°
Fractional positions:
O 0.000 0.000 0.153
Cl 0.333 0.667 0.587
Er 0.667 0.333 0.260

Computed properties:
The final energy comes out at -0.2477 Ha/atom. As for the space group: P3m1 (156). The uncorrected formation energy comes out at -2.95 eV/atom.

***

Entry 2:
VASP calculation (GGA-PBE) on crystalline ErPb2ClO4 at its relaxed geometry.

a = 3.967 Å, b = 3.967 Å, c = 8.860 Å
α = 90.00°, β = 90.00°, γ = 90.00°
Fractional positions:
Pb 0.500 0.500 0.728
O 0.500 0.000 0.145
Er 0.000 0.000 0.000
O 0.000 0.500 0.855
Cl 0.000 0.000 0.500
O 0.000 0.500 0.145
Pb 0.500 0.500 0.272
O 0.500 0.000 0.855

Computed properties:
The final energy comes out at -0.2176 Ha/atom. As for the space group: P4/mmm (123). The uncorrected formation energy comes out at -1.71 eV/atom.

***

Entry 3:
VASP calculation (GGA-PBE) on crystalline Er3PuCl2O6 at its relaxed geometry.

a = 5.404 Å, b = 6.693 Å, c = 6.846 Å
α = 119.27°, β = 79.83°, γ = 90.00°
Each line ends with the local moment (μB).
Fractional positions:
Er 0.000 0.500 0.000  -0.01
O 0.290 0.683 0.867  -0.07
O 0.710 0.816 0.133  -0.07
O 0.710 0.317 0.133  -0.07
Er 0.500 0.500 0.500  0.00
Er 0.500 0.000 0.500  0.00
Pu 0.500 0.000 0.000  3.43
O 0.290 0.184 0.867  -0.07
Cl 0.837 0.303 0.607  0.00
Cl 0.163 0.697 0.393  0.00
O 0.335 0.175 0.350  -0.07
O 0.665 0.825 0.650  -0.07

Computed properties:
The final energy comes out at -0.2934 Ha/atom. As for the space group: C2/m (12). The uncorrected formation energy comes out at -2.86 eV/atom.

***

Entry 4:
VASP calculation (GGA-PBE) on crystalline ErPuClO4 at its relaxed geometry.

a = 6.832 Å, b = 6.832 Å, c = 6.596 Å
α = 72.91°, β = 72.91°, γ = 60.32°
Each line ends with the local moment (μB).
Fractional positions:
O 0.334 0.334 0.531  -0.15
Er 0.214 0.214 0.923  -0.01
O 0.666 0.666 0.469  -0.15
Pu 0.373 0.373 0.235  2.51
O 0.944 0.553 0.806  -0.10
O 0.581 0.581 0.085  -0.12
Pu 0.627 0.627 0.765  2.51
Cl 0.968 0.968 0.253  -0.01
Er 0.786 0.786 0.077  -0.01
O 0.553 0.944 0.806  -0.10
Cl 0.032 0.032 0.747  -0.01
O 0.056 0.447 0.194  -0.10
O 0.419 0.419 0.915  -0.12
O 0.447 0.056 0.194  -0.10

Computed properties:
The final energy comes out at -0.3056 Ha/atom. As for the space group: C2/m (12). The uncorrected formation energy comes out at -2.52 eV/atom.

***

Entry 5:
VASP calculation (GGA-PBE) on crystalline RbErSeCl2O3 at its relaxed geometry.

a = 7.025 Å, b = 6.592 Å, c = 17.668 Å
α = 74.55°, β = 90.00°, γ = 90.00°
Fractional positions:
O 0.673 0.180 0.741
O 0.173 0.820 0.759
Cl 0.639 0.762 0.415
Cl 0.850 0.886 0.609
Cl 0.650 0.886 0.109
Rb 0.296 0.763 0.554
O 0.150 0.496 0.222
Rb 0.704 0.237 0.446
O 0.027 0.184 0.737
Se 0.847 0.372 0.707
Er 0.850 0.862 0.760
Se 0.653 0.372 0.207
Cl 0.361 0.238 0.585
O 0.527 0.816 0.763
O 0.850 0.504 0.778
O 0.350 0.496 0.722
Cl 0.139 0.238 0.085
O 0.327 0.820 0.259
Cl 0.861 0.762 0.915
Cl 0.150 0.114 0.391
Er 0.350 0.138 0.740
Cl 0.350 0.114 0.891
O 0.827 0.180 0.241
Rb 0.204 0.763 0.054
Rb 0.796 0.237 0.946
Er 0.650 0.862 0.260
Er 0.150 0.138 0.240
Se 0.153 0.628 0.293
Se 0.347 0.628 0.793
O 0.473 0.184 0.237
O 0.973 0.816 0.263
O 0.650 0.504 0.278

Computed properties:
The final energy comes out at -0.2010 Ha/atom. As for the space group: P2_1/c (14). The uncorrected formation energy comes out at -2.02 eV/atom.

***

Entry 6:
VASP calculation (GGA-PBE) on crystalline ErReClO4 at its relaxed geometry.

a = 6.274 Å, b = 6.274 Å, c = 6.917 Å
α = 76.85°, β = 76.85°, γ = 68.08°
Each line ends with the local moment (μB).
Fractional positions:
O 0.884 0.523 0.854  -0.07
Re 0.367 0.367 0.284  -0.67
O 0.477 0.116 0.146  -0.07
O 0.542 0.542 0.211  0.00
Re 0.633 0.633 0.716  -0.67
Cl 0.994 0.994 0.768  0.00
O 0.712 0.712 0.457  0.00
O 0.523 0.884 0.854  -0.07
Cl 0.006 0.006 0.232  0.00
O 0.116 0.477 0.146  -0.07
Er 0.218 0.218 0.905  -0.06
O 0.458 0.458 0.789  0.00
Er 0.782 0.782 0.095  -0.06
O 0.288 0.288 0.543  0.00

Computed properties:
The final energy comes out at -0.2823 Ha/atom. As for the space group: C2/m (12). The uncorrected formation energy comes out at -2.15 eV/atom.